[1]
Sc2AsH | PBE | optimized geometry

Properties
Density = 3.8 g/cm³
Total energy = -0.19539 hartree per atom
Symmetry = No. 166

abc: 8.056 8.056 8.056
angles: 23.32 23.32 23.32
Sites, in units of the cell vectors:
1 Sc 0.114 0.114 0.114
2 Sc 0.886 0.886 0.886
3 As 0.000 0.000 0.000
4 H 0.500 0.500 0.500


[2]
ScAsH | PBE | optimized geometry

Properties
Density = 4.6 g/cm³
Total energy = -0.20279 hartree per atom
Symmetry = No. 6

abc: 3.738 3.699 6.358
angles: 90.00 93.68 90.00
Sites, in units of the cell vectors:
1 Sc 0.000 0.000 0.000
2 Sc 0.458 0.000 0.543
3 As 0.560 0.500 0.214
4 As 0.970 0.500 0.669
5 H 0.267 0.500 0.006
6 H 0.487 0.000 0.862